No. 1
# K3ScSb2Se6

Crystalline K3ScSb2Se6 at its relaxed geometry (PBE, the Alexandria database).

Computed properties:
Its crystal system is monoclinic. The value obtained for the uncorrected formation energy is -1.01 eV per atom. As for the space-group type: C2/m, No. 12. Its magnetization is 0.00 μB/f.u.

a = 7.239 Å, b = 7.239 Å, c = 8.017 Å
α = 98.66°, β = 98.66°, γ = 120.00°
Atoms (fractional coordinates):
Se 0.748 0.748 0.202
Se 0.386 0.067 0.201
Se 0.614 0.933 0.799
Se 0.252 0.252 0.798
Se 0.067 0.386 0.201
Se 0.933 0.614 0.799
K 0.171 0.829 0.500
K 0.500 0.500 0.500
K 0.829 0.171 0.500
Sb 0.334 0.666 0.000
Sb 0.666 0.334 0.000
Sc 0.000 0.000 0.000

---

No. 2
# K3Sc3SbSe8

Crystalline K3Sc3SbSe8 at its relaxed geometry (PBE, the Alexandria database).

Computed properties:
Its crystal system is trigonal. The value obtained for the uncorrected formation energy is -1.35 eV per atom. As for the space-group type: R-3m, No. 166. Its magnetization is 0.00 μB/f.u.

a = 7.970 Å, b = 7.972 Å, c = 9.028 Å
α = 116.20°, β = 89.97°, γ = 120.02°
Atoms (fractional coordinates):
K 0.000 0.000 0.000
K 0.500 0.500 0.000
K 0.000 0.500 0.000
Se 0.275 0.040 0.305
Se 0.764 0.040 0.304
Se 0.268 0.537 0.305
Se 0.764 0.529 0.304
Se 0.236 0.471 0.696
Se 0.732 0.463 0.695
Se 0.236 0.960 0.696
Se 0.725 0.960 0.695
Sc 0.000 0.500 0.500
Sc 0.500 0.500 0.500
Sc 0.500 0.000 0.500
Sb 0.000 0.000 0.500

---

No. 3
# KScSb2Se

Crystalline KScSb2Se at its relaxed geometry (PBE, the Alexandria database).

Computed properties:
Its crystal system is tetragonal. The value obtained for the uncorrected formation energy is 1.27 eV per atom. As for the space-group type: P4/mmm, No. 123. Its magnetization is 0.00 μB/f.u.

a = 5.755 Å, b = 5.063 Å, c = 5.755 Å
α = 90.00°, β = 90.00°, γ = 90.00°
Atoms (fractional coordinates):
Sb 0.500 0.000 0.000
Sb 0.000 0.000 0.500
Se 0.500 0.500 0.500
K 0.000 0.000 0.000
Sc 0.000 0.500 0.000

---

Repeat the third record exactly.
# KScSb2Se

Crystalline KScSb2Se at its relaxed geometry (PBE, the Alexandria database).

Computed properties:
Its crystal system is tetragonal. The value obtained for the uncorrected formation energy is 1.27 eV per atom. As for the space-group type: P4/mmm, No. 123. Its magnetization is 0.00 μB/f.u.

a = 5.755 Å, b = 5.063 Å, c = 5.755 Å
α = 90.00°, β = 90.00°, γ = 90.00°
Atoms (fractional coordinates):
Sb 0.500 0.000 0.000
Sb 0.000 0.000 0.500
Se 0.500 0.500 0.500
K 0.000 0.000 0.000
Sc 0.000 0.500 0.000

---

Number 3 is which compound?
KScSb2Se